Entry from Alexandria: an optimized crystal structure of NiMo2 (GGA-PBE).

Geometry as extended XYZ:
```
12
Lattice="5.362 0.000 0.000 0.000 3.951 0.000 0.000 0.000 8.061" Properties=species:S:1:pos:R:3 pbc="T T T"
Ni 0.624 0.988 0.683
Ni 2.057 2.963 4.713
Ni 3.305 0.988 3.348
Ni 4.738 2.963 7.379
Mo 0.658 0.988 3.426
Mo 0.753 0.988 6.178
Mo 1.928 2.963 2.148
Mo 2.023 2.963 7.457
Mo 3.339 0.988 0.604
Mo 3.434 0.988 5.914
Mo 4.609 2.963 1.883
Mo 4.704 2.963 4.635
```

Properties
Formation energy   81 meV/atom
Distance to the lowest polymorph of the same formula   40 meV/atom
Total energy   -27.20 eV per formula unit
Space-group type   No. 62



Entry from Alexandria: an optimized crystal structure of Ni5Mo (GGA-PBE).

Geometry as extended XYZ:
```
6
Lattice="4.417 0.000 0.000 -2.209 3.825 0.000 0.000 0.000 4.110" Properties=species:S:1:pos:R:3 pbc="T T T"
Ni -1.451 2.513 0.000
Ni 0.000 2.550 2.055
Ni 0.758 1.313 0.000
Ni 2.901 0.000 0.000
Ni 2.209 1.275 2.055
Mo 0.000 0.000 2.055
```

Properties
Formation energy   -48 meV/atom
Total energy   -40.03 eV per formula unit
Space-group type   No. 189



Entry from Alexandria: an optimized crystal structure of NiMo2 (GGA-PBE).

Geometry as extended XYZ:
```
3
Lattice="-1.610 1.610 4.191 1.610 -1.610 4.191 1.610 1.610 -4.191" Properties=species:S:1:pos:R:3 pbc="T T T"
Ni 0.000 0.000 0.000
Mo 0.000 0.000 2.775
Mo 0.000 0.000 5.606
```

Properties
Formation energy   201 meV/atom
Distance to the lowest polymorph of the same formula   160 meV/atom
Total energy   -26.84 eV per formula unit
Space-group type   No. 139



Entry from Alexandria: an optimized crystal structure of NiMo (GGA-PBE).

Geometry as extended XYZ:
```
12
Lattice="8.794 0.000 0.000 -4.397 7.616 0.000 0.000 0.000 2.598" Properties=species:S:1:pos:R:3 pbc="T T T"
Ni -0.765 2.038 0.649
Ni -2.250 7.260 0.649
Ni 1.382 1.682 1.948
Ni 3.015 5.934 0.649
Ni 6.647 0.356 1.948
Ni 5.162 5.578 1.948
Mo -1.530 4.837 0.649
Mo 0.973 3.872 0.649
Mo 0.557 6.522 0.649
Mo 3.840 1.094 1.948
Mo 3.424 3.744 1.948
Mo 5.927 2.778 1.948
```

Properties
Formation energy   391 meV/atom
Total energy   -15.83 eV per formula unit
Space-group type   No. 176



Entry from Alexandria: an optimized crystal structure of NiMo2 (GGA-PBE).

Geometry as extended XYZ:
```
6
Lattice="4.303 0.000 0.000 -2.151 3.726 0.000 0.000 0.000 5.303" Properties=species:S:1:pos:R:3 pbc="T T T"
Ni 0.000 2.484 1.326
Ni 2.151 1.242 3.977
Mo 0.000 0.000 0.000
Mo 0.000 0.000 2.651
Mo 0.000 2.484 3.977
Mo 2.151 1.242 1.326
```

Properties
Formation energy   69 meV/atom
Distance to the lowest polymorph of the same formula   27 meV/atom
Total energy   -27.24 eV per formula unit
Space-group type   No. 194



Entry from Alexandria: an optimized crystal structure of NiMo2 (GGA-PBE).

Geometry as extended XYZ:
```
3
Lattice="4.413 0.000 0.000 -2.206 3.822 0.000 0.000 0.000 2.566" Properties=species:S:1:pos:R:3 pbc="T T T"
Ni 0.000 0.000 0.000
Mo 0.000 2.548 0.866
Mo 2.206 1.274 1.700
```

Properties
Formation energy   153 meV/atom
Distance to the lowest polymorph of the same formula   112 meV/atom
Total energy   -26.99 eV per formula unit
Space-group type   No. 164



Entry from Alexandria: an optimized crystal structure of Ni2Mo (GGA-PBE).

Geometry as extended XYZ:
```
6
Lattice="4.674 -1.310 0.000 4.674 1.310 0.000 -2.153 0.000 6.103" Properties=species:S:1:pos:R:3 pbc="T T T"
Ni -0.219 0.000 1.614
Ni 1.214 0.000 5.906
Ni 5.981 0.000 0.197
Ni 7.415 0.000 4.489
Mo 2.287 0.000 2.247
Mo 4.908 0.000 3.856
```

Properties
Formation energy   25 meV/atom
Distance to the lowest polymorph of the same formula   115 meV/atom
Total energy   -22.32 eV per formula unit
Space-group type   No. 12



Entry from Alexandria: an optimized crystal structure of Ni3Mo2 (GGA-PBE).

Geometry as extended XYZ:
```
10
Lattice="0.000 6.314 2.457 4.152 0.000 2.457 4.152 6.314 0.000" Properties=species:S:1:pos:R:3 pbc="T T T"
Ni 0.000 0.000 0.000
Ni 2.076 3.157 1.228
Ni 3.687 4.868 1.889
Ni 4.617 7.760 1.889
Ni 6.693 8.025 3.117
Ni 5.763 10.917 3.117
Mo 4.610 2.466 1.832
Mo 5.769 5.623 3.060
Mo 3.693 10.161 1.832
Mo 2.534 7.004 3.060
```

Properties
Formation energy   88 meV/atom
Distance to the lowest polymorph of the same formula   0 meV/atom
Total energy   -38.56 eV per formula unit
Space-group type   No. 43



Entry from Alexandria: an optimized crystal structure of NiMo (GGA-PBE).

Geometry as extended XYZ:
```
4
Lattice="2.648 0.000 0.000 0.000 2.648 0.000 0.000 0.000 7.654" Properties=species:S:1:pos:R:3 pbc="T T T"
Ni 0.662 0.662 0.850
Ni 1.986 1.986 6.804
Mo 0.662 0.662 4.983
Mo 1.986 1.986 2.671
```

Properties
Formation energy   25 meV/atom
Total energy   -16.56 eV per formula unit
Space-group type   No. 129



Entry from Alexandria: an optimized crystal structure of Ni2Mo (GGA-PBE).

Geometry as extended XYZ:
```
12
Lattice="4.699 0.000 0.000 -2.349 4.069 0.000 0.000 0.000 7.721" Properties=species:S:1:pos:R:3 pbc="T T T"
Ni 0.000 0.000 0.000
Ni 0.000 0.000 3.860
Ni 0.000 1.377 1.930
Ni -1.157 3.381 1.930
Ni 1.192 0.688 5.791
Ni 1.157 3.381 1.930
Ni 3.507 0.688 5.791
Ni 2.349 2.693 5.791
Mo 0.000 2.713 4.312
Mo 0.000 2.713 7.270
Mo 2.349 1.356 0.451
Mo 2.349 1.356 3.409
```

Properties
Formation energy   -6 meV/atom
Distance to the lowest polymorph of the same formula   84 meV/atom
Total energy   -22.41 eV per formula unit
Space-group type   No. 194



Entry from Alexandria: an optimized crystal structure of Ni3Mo2 (GGA-PBE).

Geometry as extended XYZ:
```
5
Lattice="1.324 0.765 10.746 -1.324 0.765 10.746 0.000 -1.529 10.746" Properties=species:S:1:pos:R:3 pbc="T T T"
Ni 0.000 0.000 0.000
Ni 0.000 0.000 6.379
Ni 0.000 0.000 25.859
Mo 0.000 0.000 12.957
Mo 0.000 0.000 19.281
```

Properties
Formation energy   134 meV/atom
Distance to the lowest polymorph of the same formula   45 meV/atom
Total energy   -38.34 eV per formula unit
Space-group type   No. 166



Entry from Alexandria: an optimized crystal structure of Ni5Mo (GGA-PBE).

Geometry as extended XYZ:
```
6
Lattice="4.593 0.000 0.000 -2.296 3.977 0.000 0.000 0.000 3.985" Properties=species:S:1:pos:R:3 pbc="T T T"
Ni -1.148 1.989 0.000
Ni 0.000 2.652 1.992
Ni 2.296 0.000 0.000
Ni 1.148 1.989 0.000
Ni 2.296 1.326 1.992
Mo 0.000 0.000 1.992
```

Properties
Formation energy   229 meV/atom
Total energy   -38.36 eV per formula unit
Space-group type   No. 191



Entry from Alexandria: an optimized crystal structure of NiMo (GGA-PBE).

Geometry as extended XYZ:
```
4
Lattice="2.938 -3.473 0.000 2.938 3.473 0.000 0.000 0.000 2.599" Properties=species:S:1:pos:R:3 pbc="T T T"
Ni 1.191 0.000 0.000
Ni 4.684 0.000 0.000
Mo 2.938 1.493 1.299
Mo 2.938 -1.493 1.299
```

Properties
Formation energy   31 meV/atom
Total energy   -16.55 eV per formula unit
Space-group type   No. 65



Entry from Alexandria: an optimized crystal structure of Ni2Mo (GGA-PBE).

Geometry as extended XYZ:
```
6
Lattice="2.233 -3.915 0.000 2.233 3.915 0.000 -1.373 0.000 4.283" Properties=species:S:1:pos:R:3 pbc="T T T"
Ni 1.203 3.324 3.212
Ni 1.889 1.947 1.071
Ni 1.203 -1.947 3.212
Ni 1.889 -3.324 1.071
Mo 1.203 0.742 3.212
Mo 1.889 -0.742 1.071
```

Properties
Formation energy   -9 meV/atom
Distance to the lowest polymorph of the same formula   81 meV/atom
Total energy   -22.42 eV per formula unit
Space-group type   No. 15



Entry from Alexandria: an optimized crystal structure of NiMo (GGA-PBE).

Geometry as extended XYZ:
```
2
Lattice="0.000 2.456 2.456 2.456 0.000 2.456 2.456 2.456 0.000" Properties=species:S:1:pos:R:3 pbc="T T T"
Ni 0.000 0.000 0.000
Mo 2.456 2.456 2.456
```

Properties
Formation energy   831 meV/atom
Total energy   -14.95 eV per formula unit
Space-group type   No. 225



Entry from Alexandria: an optimized crystal structure of NiMo2 (GGA-PBE).

Geometry as extended XYZ:
```
6
Lattice="5.140 -1.303 0.000 5.140 1.303 0.000 -1.658 0.000 6.389" Properties=species:S:1:pos:R:3 pbc="T T T"
Ni -0.219 0.000 2.000
Ni 8.841 0.000 4.389
Mo 2.636 0.000 2.344
Mo 2.179 0.000 6.220
Mo 6.442 0.000 0.169
Mo 5.986 0.000 4.046
```

Properties
Formation energy   93 meV/atom
Distance to the lowest polymorph of the same formula   52 meV/atom
Total energy   -27.17 eV per formula unit
Space-group type   No. 12



Entry from Alexandria: an optimized crystal structure of NiMo (GGA-PBE).

Geometry as extended XYZ:
```
8
Lattice="0.000 3.612 4.642 3.415 0.000 4.642 3.415 3.612 0.000" Properties=species:S:1:pos:R:3 pbc="T T T"
Ni 4.853 2.709 3.482
Ni 6.561 4.515 5.803
Ni 0.269 2.709 3.482
Ni 1.976 4.515 5.803
Mo 2.561 1.477 3.482
Mo 4.268 3.283 5.803
Mo 2.561 3.942 3.482
Mo 4.268 5.748 5.803
```

Properties
Formation energy   494 meV/atom
Total energy   -15.62 eV per formula unit
Space-group type   No. 70



Entry from Alexandria: an optimized crystal structure of Ni2Mo3 (GGA-PBE).

Geometry as extended XYZ:
```
5
Lattice="1.345 0.777 11.266 -1.345 0.777 11.266 0.000 -1.553 11.266" Properties=species:S:1:pos:R:3 pbc="T T T"
Ni 0.000 0.000 3.433
Ni 0.000 0.000 30.364
Mo 0.000 0.000 10.016
Mo 0.000 0.000 16.899
Mo 0.000 0.000 23.781
```

Properties
Formation energy   233 meV/atom
Distance to the lowest polymorph of the same formula   124 meV/atom
Total energy   -42.89 eV per formula unit
Space-group type   No. 166



Entry from Alexandria: an optimized crystal structure of NiMo2 (GGA-PBE).

Geometry as extended XYZ:
```
9
Lattice="6.776 0.000 0.000 -3.388 5.868 0.000 0.000 0.000 3.264" Properties=species:S:1:pos:R:3 pbc="T T T"
Ni 0.000 0.000 0.000
Ni 0.000 3.912 1.632
Ni 3.388 1.956 1.632
Mo -0.913 1.581 1.632
Mo -2.041 3.535 0.000
Mo 1.825 0.000 1.632
Mo 1.347 2.332 0.000
Mo 4.082 0.000 0.000
Mo 2.475 4.287 1.632
```

Properties
Formation energy   195 meV/atom
Distance to the lowest polymorph of the same formula   154 meV/atom
Total energy   -26.86 eV per formula unit
Space-group type   No. 189



Entry from Alexandria: an optimized crystal structure of Ni5Mo3 (GGA-PBE).

Geometry as extended XYZ:
```
8
Lattice="3.727 -3.814 0.000 3.727 3.814 0.000 0.000 0.000 3.574" Properties=species:S:1:pos:R:3 pbc="T T T"
Ni 0.000 0.000 0.000
Ni 1.863 1.907 0.000
Ni 3.727 1.946 1.787
Ni 1.863 -1.907 0.000
Ni 3.727 -1.946 1.787
Mo 1.823 0.000 1.787
Mo 3.727 0.000 0.000
Mo 5.630 0.000 1.787
```

Properties
Formation energy   30 meV/atom
Distance to the lowest polymorph of the same formula   0 meV/atom
Total energy   -61.16 eV per formula unit
Space-group type   No. 65



Entry from Alexandria: an optimized crystal structure of Ni2Mo (GGA-PBE).

Geometry as extended XYZ:
```
9
Lattice="6.150 0.000 0.000 -3.075 5.326 0.000 0.000 0.000 3.770" Properties=species:S:1:pos:R:3 pbc="T T T"
Ni -0.760 1.317 0.000
Ni -1.841 3.188 1.885
Ni 1.521 0.000 0.000
Ni 1.234 2.138 1.885
Ni 3.681 0.000 1.885
Ni 2.315 4.009 0.000
Mo 0.000 0.000 1.885
Mo 0.000 3.551 0.000
Mo 3.075 1.775 0.000
```

Properties
Formation energy   489 meV/atom
Distance to the lowest polymorph of the same formula   579 meV/atom
Total energy   -20.93 eV per formula unit
Space-group type   No. 189



Entry from Alexandria: an optimized crystal structure of Ni2Mo (GGA-PBE).

Geometry as extended XYZ:
```
6
Lattice="4.183 0.000 0.000 -2.091 3.623 0.000 0.000 0.000 5.010" Properties=species:S:1:pos:R:3 pbc="T T T"
Ni 0.000 0.000 0.000
Ni 0.000 0.000 2.505
Ni 0.000 2.415 1.252
Ni 2.091 1.208 3.757
Mo 0.000 2.415 3.757
Mo 2.091 1.208 1.252
```

Properties
Formation energy   132 meV/atom
Distance to the lowest polymorph of the same formula   222 meV/atom
Total energy   -22.00 eV per formula unit
Space-group type   No. 194



Entry from Alexandria: an optimized crystal structure of NiMo2 (GGA-PBE).

Geometry as extended XYZ:
```
3
Lattice="4.321 0.000 0.000 0.000 4.321 0.000 0.000 0.000 2.600" Properties=species:S:1:pos:R:3 pbc="T T T"
Ni 0.000 0.000 0.000
Mo 0.000 2.161 1.300
Mo 2.161 0.000 1.300
```

Properties
Formation energy   792 meV/atom
Distance to the lowest polymorph of the same formula   751 meV/atom
Total energy   -25.07 eV per formula unit
Space-group type   No. 123



Entry from Alexandria: an optimized crystal structure of Ni2Mo (GGA-PBE).

Geometry as extended XYZ:
```
6
Lattice="3.885 -2.264 0.000 3.885 2.264 0.000 0.000 0.000 4.229" Properties=species:S:1:pos:R:3 pbc="T T T"
Ni 1.334 0.769 1.057
Ni 1.334 -0.769 3.172
Ni 6.437 0.769 1.057
Ni 6.437 -0.769 3.172
Mo 3.885 0.859 1.057
Mo 3.885 -0.859 3.172
```

Properties
Formation energy   -90 meV/atom
Distance to the lowest polymorph of the same formula   0 meV/atom
Total energy   -22.66 eV per formula unit
Space-group type   No. 63



Entry from Alexandria: an optimized crystal structure of NiMo (GGA-PBE).

Geometry as extended XYZ:
```
4
Lattice="4.175 0.000 0.000 -2.087 3.616 0.000 0.000 0.000 4.702" Properties=species:S:1:pos:R:3 pbc="T T T"
Ni 0.000 2.410 1.175
Ni 2.087 1.205 3.526
Mo 0.000 2.410 3.526
Mo 2.087 1.205 1.175
```

Properties
Formation energy   1124 meV/atom
Total energy   -14.36 eV per formula unit
Space-group type   No. 194



no.,total moment (μB per formula unit)
1,0.00
2,0.00
3,0.00
4,0.00
5,0.00
6,0.00
7,0.00
8,0.00
9,0.00
10,0.01
11,0.00
12,0.02
13,0.00
14,0.00
15,0.00
16,0.00
17,0.00
18,0.00
19,0.00
20,0.00
21,0.00
22,0.00
23,0.00
24,0.00
25,0.00